(1)
# BeAlTc2C

A relaxed BeAlTc2C crystal (PBE-GGA, Alexandria via LeMat-Bulk).

Total DFT energy (no corrections)   -37.9 eV per cell
ΔE_f   -0.089 eV/atom
M_tot   0.00 μB/f.u.
Crystal system   tetragonal

Cell lengths 4.176, 4.176, 3.357 Å; angles 90.00, 90.00, 90.00 degrees
Fractional coordinates of all 5 atoms:
Tc 0.000 0.500 0.000
Tc 0.500 0.000 0.000
C 0.000 0.000 0.000
Al 0.500 0.500 0.500
Be 0.000 0.000 0.500


(2)
# BeAl2WC

A relaxed BeAl2WC crystal (PBE-GGA, Alexandria via LeMat-Bulk).

Total DFT energy (no corrections)   -21.8 eV per cell
ΔE_f   2.318 eV/atom
M_tot   0.00 μB/f.u.
Crystal system   tetragonal

Cell lengths 4.859, 4.344, 4.859 Å; angles 90.00, 90.00, 90.00 degrees
Fractional coordinates of all 5 atoms:
Be 0.000 0.500 0.000
Al 0.000 0.000 0.500
Al 0.500 0.000 0.000
W 0.000 0.000 0.000
C 0.500 0.500 0.500


(3)
# YBeAl2C

A relaxed YBeAl2C crystal (PBE-GGA, Alexandria via LeMat-Bulk).

Total DFT energy (no corrections)   -26.1 eV per cell
ΔE_f   0.163 eV/atom
M_tot   0.00 μB/f.u.
Crystal system   tetragonal

Cell lengths 4.062, 4.773, 4.062 Å; angles 90.00, 90.00, 90.00 degrees
Fractional coordinates of all 5 atoms:
Al 0.000 0.000 0.500
Al 0.500 0.000 0.000
C 0.000 0.000 0.000
Y 0.000 0.500 0.000
Be 0.500 0.500 0.500


(4)
# YBeAlC2

A relaxed YBeAlC2 crystal (PBE-GGA, Alexandria via LeMat-Bulk).

Total DFT energy (no corrections)   -20.0 eV per cell
ΔE_f   2.481 eV/atom
M_tot   0.00 μB/f.u.
Crystal system   tetragonal

Cell lengths 4.379, 5.739, 4.379 Å; angles 90.00, 90.00, 90.00 degrees
Fractional coordinates of all 5 atoms:
Al 0.000 0.500 0.000
Be 0.500 0.500 0.500
Y 0.000 0.000 0.000
C 0.500 0.000 0.000
C 0.000 0.000 0.500


(5)
# Ca2BeAl2

A relaxed Ca2BeAl2 crystal (PBE-GGA, Alexandria via LeMat-Bulk).

Total DFT energy (no corrections)   -30.0 eV per cell
ΔE_f   0.039 eV/atom
M_tot   0.00 μB/f.u.
Crystal system   tetragonal

Cell lengths 6.767, 6.767, 4.991 Å; angles 90.00, 90.00, 90.00 degrees
Fractional coordinates of all 10 atoms:
Al 0.640 0.140 0.000
Al 0.360 0.860 0.000
Al 0.140 0.360 0.000
Al 0.860 0.640 0.000
Ca 0.327 0.173 0.500
Ca 0.673 0.827 0.500
Ca 0.173 0.673 0.500
Ca 0.827 0.327 0.500
Be 0.000 0.000 0.000
Be 0.500 0.500 0.000


(6)
# CaBeAl2

A relaxed CaBeAl2 crystal (PBE-GGA, Alexandria via LeMat-Bulk).

Total DFT energy (no corrections)   -12.6 eV per cell
ΔE_f   0.161 eV/atom
M_tot   0.00 μB/f.u.
Crystal system   tetragonal

Cell lengths 4.144, 4.144, 4.303 Å; angles 90.00, 90.00, 90.00 degrees
Fractional coordinates of all 4 atoms:
Ca 0.000 0.500 0.500
Al 0.500 0.500 0.000
Al 0.000 0.000 0.000
Be 0.500 0.000 0.500


(7)
# CaBeAl2

A relaxed CaBeAl2 crystal (PBE-GGA, Alexandria via LeMat-Bulk).

Total DFT energy (no corrections)   -13.0 eV per cell
ΔE_f   0.062 eV/atom
M_tot   0.00 μB/f.u.
Crystal system   orthorhombic

Cell lengths 3.169, 3.375, 6.920 Å; angles 90.00, 90.00, 90.00 degrees
Fractional coordinates of all 4 atoms:
Be 0.000 0.000 0.429
Al 0.500 0.500 0.282
Al 0.000 0.000 0.056
Ca 0.500 0.500 0.733


(8)
# CaBeAl2

A relaxed CaBeAl2 crystal (PBE-GGA, Alexandria via LeMat-Bulk).

Total DFT energy (no corrections)   -13.0 eV per cell
ΔE_f   0.047 eV/atom
M_tot   0.00 μB/f.u.
Crystal system   tetragonal

Cell lengths 3.120, 3.119, 7.414 Å; angles 90.00, 90.00, 90.00 degrees
Fractional coordinates of all 4 atoms:
Al 0.000 0.000 0.436
Al 0.000 0.000 0.064
Ca 0.500 0.500 0.750
Be 0.500 0.500 0.250